{"formula": "Ba2EuCoCu2O7", "functional": "GGA+U", "state": "optimized geometry", "rho_kg_m3": 6590, "total_energy_ev_per_atom": -6.50, "space_group": "Pmmm, No. 47", "lattice": [[3.8915, 0.0000, 0.0000], [0.0000, 3.9192, 0.0000], [0.0000, 0.0000, 11.9714]], "species": ["Ba", "Ba", "Eu", "Co", "Cu", "Cu", "O", "O", "O", "O", "O", "O", "O"], "frac_coords": [[0.0000, 0.0000, 0.1846], [0.0000, 0.0000, 0.8154], [0.0000, 0.0000, 0.5000], [0.5000, 0.5000, 0.0000], [0.5000, 0.5000, 0.3571], [0.5000, 0.5000, 0.6429], [0.0000, 0.5000, 0.3710], [0.0000, 0.5000, 0.6290], [0.5000, 0.0000, 0.0000], [0.5000, 0.0000, 0.3718], [0.5000, 0.0000, 0.6282], [0.5000, 0.5000, 0.1497], [0.5000, 0.5000, 0.8503]]}